Record 1
This record from Alexandria describes a relaxed structure of YInHg. The functional is PBE-GGA.

Unit cell a=6.1140 b=6.1140 c=7.2749 alpha=126.50 beta=126.50 gamma=46.92
Closest atoms and distances in Å follow each position.
Sites, in units of the cell vectors:
Y 0.0000 0.0000 0.0000  6 Hg 3.22-3.50, 6 In 3.31-3.45
Y 0.0133 0.0133 0.5134  6 Hg 3.22-3.54, 6 In 3.28-3.43
In 0.3384 0.3384 0.1155  3 Hg 2.84-2.86
In 0.3381 0.3381 0.5602  3 Hg 2.84-2.86
Hg 0.6734 0.6734 0.8971  3 In 2.84-2.86
Hg 0.6738 0.6738 0.4523  3 In 2.84-2.86

Properties
The crystal system is monoclinic. For the calculated total energy, the calculation gives -3.6052 eV per atom. As for the formation energy: -0.437 eV/atom.

Record 2
This record from Alexandria describes a relaxed structure of YbInHg2. The functional is PBE-GGA.

Unit cell a=5.1967 b=5.1967 c=5.1967 alpha=60.00 beta=60.00 gamma=60.00
Closest atoms and distances in Å follow each position.
Sites, in units of the cell vectors:
Yb 0.0000 0.0000 0.0000  8 Hg 3.18
In 0.5000 0.5000 0.5000  8 Hg 3.18
Hg 0.2500 0.2500 0.2500  4 In 3.18, 4 Yb 3.18
Hg 0.7500 0.7500 0.7500  4 Yb 3.18, 4 In 3.18

Properties
The crystal system is cubic. For the calculated total energy, the calculation gives -1.6186 eV per atom. As for the formation energy: -0.402 eV/atom.

Record 3
This record from Alexandria describes a relaxed structure of Zn2InHg. The functional is PBE-GGA.

Unit cell a=3.6039 b=3.8634 c=6.1201 alpha=90.00 beta=97.05 gamma=90.00
Closest atoms and distances in Å follow each position.
Sites, in units of the cell vectors:
Zn 0.0099 0.0000 0.2570  4 Hg 2.90-3.16, 4 In 2.98-3.16, 2 Zn 2.98-3.14
Zn 0.9901 0.0000 0.7430  4 Hg 2.90-3.16, 4 In 2.98-3.16, 2 Zn 2.98-3.14
In 0.5000 0.5000 0.0000  8 Zn 2.98-3.16, 2 Hg 3.06
Hg 0.5000 0.5000 0.5000  8 Zn 2.90-3.16, 2 In 3.06

Properties
The crystal system is monoclinic. For the calculated total energy, the calculation gives -1.2585 eV per atom. As for the formation energy: 0.139 eV/atom. The calculation puts the energy above the most stable polymorph in this dataset at 4.9 kJ per mole of atoms.

Record 4
This record from Alexandria describes a relaxed structure of ZnIn2Hg4. The functional is PBE-GGA.

Unit cell a=3.4391 b=3.6641 c=15.6848 alpha=92.54 beta=90.78 gamma=117.15
Closest atoms and distances in Å follow each position.
Sites, in units of the cell vectors:
Zn 0.0000 0.0000 0.0000  6 Hg 2.82-2.89
In 0.1392 0.2870 0.4263  6 Hg 3.07-3.27
In 0.5842 0.1709 0.7276  6 Hg 3.06-3.21
Hg 0.2981 0.5995 0.8772  3 Zn 2.82-2.84, 1 In 3.08
Hg 0.4339 0.8389 0.2739  3 Hg 3.07-3.17, 3 In 3.08-3.27
Hg 0.7117 0.4089 0.1247  3 Zn 2.82-2.89, 2 Hg 3.07-3.16
Hg 0.8540 0.7278 0.5770  6 In 3.06-3.21

Properties
The crystal system is triclinic. For the calculated total energy, the calculation gives -1.0974 eV per atom. As for the formation energy: 0.039 eV/atom. The calculation puts the energy above the most stable polymorph in this dataset at 0.0 kJ per mole of atoms.

Record 5
This record from Alexandria describes a relaxed structure of ZnIn2Hg. The functional is PBE-GGA.

Unit cell a=10.8918 b=10.8918 c=10.8918 alpha=156.83 beta=156.83 gamma=33.00
Closest atoms and distances in Å follow each position.
Sites, in units of the cell vectors:
Zn 0.0000 0.0000 0.0000  4 In 3.02, 4 Hg 3.09
Zn 0.7500 0.2500 0.5000  4 In 3.02, 4 Hg 3.09
In 0.1172 0.6250 0.9922  2 Zn 3.02, 4 In 3.05-3.14, 2 Hg 3.05
In 0.3750 0.3672 0.4922  2 Zn 3.02, 4 In 3.05-3.14, 2 Hg 3.05
In 0.6328 0.1250 0.0078  2 Zn 3.02, 4 In 3.05-3.14, 2 Hg 3.05
In 0.8750 0.8828 0.5078  2 Zn 3.02, 4 In 3.05-3.14, 2 Hg 3.05
Hg 0.2500 0.7500 0.5000  4 In 3.05, 4 Zn 3.09
Hg 0.5000 0.5000 0.0000  4 In 3.05, 4 Zn 3.09

Properties
The crystal system is tetragonal. For the calculated total energy, the calculation gives -1.6517 eV per atom. As for the formation energy: 0.111 eV/atom. The calculation puts the energy above the most stable polymorph in this dataset at 5.6 kJ per mole of atoms.

Record 6
This record from Alexandria describes a relaxed structure of ZnInHg2. The functional is PBE-GGA.

Unit cell a=3.2983 b=3.2983 c=9.5599 alpha=90.00 beta=90.00 gamma=111.34
Closest atoms and distances in Å follow each position.
Sites, in units of the cell vectors:
Zn 0.0000 0.0000 0.0000  4 Hg 2.85
In 0.0000 0.0000 0.5000  4 Hg 3.22, 4 In 3.30
Hg 0.5000 0.5000 0.2253  2 Zn 2.85
Hg 0.5000 0.5000 0.7747  2 Zn 2.85

Properties
The crystal system is orthorhombic. For the calculated total energy, the calculation gives -1.0632 eV per atom. As for the formation energy: 0.091 eV/atom.